(P)
The following is a DFT calculation (GGA-PBE) of K2ZrTa after structural relaxation.

```
K2ZrTa
1.0
11.335 0.019 -0.001
9.981 5.373 0.001
-10.458 -3.487 2.638
K Zr Ta
2 1 1
direct
0.598 0.598 0.000
0.902 0.902 0.000
0.250 0.750 0.500
0.750 0.250 0.500
```

As for the magnetic moment: 0.00 μB/f.u.

(Q)
The following is a DFT calculation (GGA-PBE) of K2ZrTa after structural relaxation.

```
K2ZrTa
1.0
-2.586 -0.151 4.464
0.310 -0.783 5.092
1.764 9.749 1.672
Ta K Zr
1 2 1
direct
0.511 0.511 0.413
0.757 0.757 0.683
0.995 0.995 0.066
0.236 0.236 0.338
```

As for the magnetic moment: 0.00 μB/f.u.

Q: Which of them is the least stable? A: (Q).

(P)
The following is a DFT calculation (GGA-PBE) of K2ZrTa after structural relaxation.

```
K2ZrTa
1.0
7.257 0.103 0.000
-4.914 5.341 0.000
0.000 0.000 2.946
K Zr Ta
2 1 1
direct
0.000 0.000 0.000
0.500 0.500 0.000
0.000 0.500 0.500
0.500 0.000 0.500
```

As for the magnetic moment: 1.57 μB/f.u.

(Q)
The following is a DFT calculation (GGA-PBE) of K2ZrTa after structural relaxation.

```
K2ZrTa
1.0
-0.243 -1.641 2.441
5.752 -3.050 -1.476
2.954 4.096 3.048
K Ta Zr
2 1 1
direct
0.000 0.000 0.004
0.000 0.000 0.496
0.500 0.500 0.250
0.500 0.500 0.750
```

As for the magnetic moment: 0.29 μB/f.u.

(R)
The following is a DFT calculation (GGA-PBE) of K2ZrTa after structural relaxation.

```
K2ZrTa
1.0
5.489 0.000 0.000
0.000 5.489 0.000
-2.744 -2.744 3.881
Ta K Zr
1 2 1
direct
0.500 0.500 0.000
0.000 0.000 0.000
0.250 0.750 0.500
0.750 0.250 0.500
```

As for the magnetic moment: 2.74 μB/f.u.

(S)
The following is a DFT calculation (GGA-PBE) of K2ZrTa after structural relaxation.

```
K2ZrTa
1.0
13.707 0.000 0.000
13.363 3.052 0.000
13.363 1.507 2.654
K Ta Zr
2 1 1
direct
0.504 0.504 0.504
0.996 0.996 0.996
0.250 0.250 0.250
0.750 0.750 0.750
```

As for the magnetic moment: 0.31 μB/f.u.

Q: Which of them is the least stable? A: (R).

(P)
The following is a DFT calculation (GGA-PBE) of KZr3Ta after structural relaxation.

```
KZr3Ta
1.0
-4.536 1.709 -2.202
-2.729 -1.867 4.173
0.568 4.684 2.466
Zr Ta K
3 1 1
direct
0.000 0.000 0.500
0.000 0.500 0.000
0.500 0.000 0.000
0.000 0.000 0.000
0.500 0.500 0.500
```

As for the magnetic moment: 0.00 μB/f.u.

(Q)
The following is a DFT calculation (GGA-PBE) of KZr3Ta after structural relaxation.

```
KZr3Ta
1.0
-4.366 -1.011 -1.846
-0.506 -3.623 3.180
-2.043 3.057 3.158
K Zr Ta
1 3 1
direct
0.000 0.000 0.000
0.000 0.500 0.000
0.500 0.000 0.000
0.000 0.000 0.500
0.500 0.500 0.500
```

As for the magnetic moment: 0.00 μB/f.u.

Q: Which of them is the least stable? A: (Q).

(P)
The following is a DFT calculation (GGA-PBE) of K3Tb after structural relaxation.

```
K3Tb
1.0
-3.950 6.438 1.610
-0.866 1.567 7.513
5.919 -1.837 -4.608
K Tb
3 1
direct
0.750 0.250 0.500
0.500 0.500 0.000
0.250 0.750 0.500
0.000 0.000 0.000
```

As for the magnetic moment: 0.22 μB/f.u.

(Q)
The following is a DFT calculation (GGA-PBE) of K3Tb after structural relaxation.

```
K3Tb
1.0
-2.255 -6.457 0.170
2.644 -4.429 4.493
-3.765 -2.170 5.283
Tb K
1 3
direct
0.000 0.000 0.000
0.500 0.500 0.500
0.750 0.750 0.750
0.250 0.250 0.250
```

As for the magnetic moment: 0.00 μB/f.u.

Q: Which of them is the least stable? A: (Q).

(P)
The following is a DFT calculation (GGA-PBE) of KTbTl2 after structural relaxation.

```
KTbTl2
1.0
5.595 0.000 0.000
2.797 4.845 0.000
2.797 1.615 4.568
Tl K Tb
2 1 1
direct
0.250 0.250 0.250
0.750 0.750 0.750
0.500 0.500 0.500
0.000 0.000 0.000
```

As for the magnetic moment: 0.00 μB/f.u.

(Q)
The following is a DFT calculation (GGA-PBE) of KTbTl2 after structural relaxation.

```
KTbTl2
1.0
3.760 0.000 0.000
1.880 3.256 0.000
1.880 1.085 10.864
Tl K Tb
2 1 1
direct
0.257 0.257 0.229
0.743 0.743 0.771
0.500 0.500 0.500
0.000 0.000 0.000
```

As for the magnetic moment: 0.00 μB/f.u.

Q: Which of them is the least stable? A: (Q).

(P)
The following is a DFT calculation (GGA-PBE) of K3Tc after structural relaxation.

```
K3Tc
1.0
6.581 -0.258 0.000
1.617 6.384 0.000
-4.099 -3.063 4.146
K Tc
3 1
direct
0.250 0.750 0.500
0.500 0.500 0.000
0.750 0.250 0.500
0.000 0.000 0.000
```

As for the magnetic moment: 3.58 μB/f.u.

(Q)
The following is a DFT calculation (GGA-PBE) of K3Tc after structural relaxation.

```
K3Tc
1.0
14.037 0.055 0.032
13.521 3.771 0.032
13.521 1.877 3.271
K Tc
3 1
direct
0.500 0.500 0.500
0.731 0.731 0.731
0.269 0.269 0.269
0.000 0.000 0.000
```

As for the magnetic moment: 2.90 μB/f.u.

Q: Which of them is the least stable? A: (Q).

(P)
The following is a DFT calculation (GGA-PBE) of K5Tc after structural relaxation.

```
K5Tc
1.0
-2.877 -2.768 1.396
-0.285 -1.660 -3.879
13.529 -11.979 4.133
K Tc
5 1
direct
0.500 0.500 0.697
0.000 0.000 0.892
0.500 0.500 0.303
0.000 0.000 0.108
0.000 0.000 0.500
0.500 0.500 0.000
```

As for the magnetic moment: 3.48 μB/f.u.

(Q)
The following is a DFT calculation (GGA-PBE) of K5Tc after structural relaxation.

```
K5Tc
1.0
2.096 7.724 -0.034
-2.096 7.724 -0.034
0.000 4.313 10.120
K Tc
5 1
direct
0.967 0.967 0.617
0.306 0.306 0.389
0.934 0.934 0.012
0.677 0.677 0.766
0.644 0.644 0.161
0.306 0.306 0.889
```

As for the magnetic moment: 3.08 μB/f.u.

(R)
The following is a DFT calculation (GGA-PBE) of K5Tc after structural relaxation.

```
K5Tc
1.0
2.145 -11.421 0.000
2.145 11.421 0.000
0.000 0.000 6.692
K Tc
5 1
direct
0.338 0.662 0.000
0.015 0.985 0.000
0.742 0.258 0.500
0.476 0.524 0.500
0.654 0.346 0.000
0.108 0.892 0.500
```

As for the magnetic moment: 3.40 μB/f.u.

Q: Which of them is the least stable? A: (R).

(P)
The following is a DFT calculation (GGA-PBE) of KTc5 after structural relaxation.

```
KTc5
1.0
1.375 6.030 -0.064
-1.375 6.030 -0.064
0.000 1.841 6.252
Tc K
5 1
direct
0.044 0.044 0.407
0.357 0.357 0.343
0.696 0.696 0.570
0.725 0.725 0.146
0.323 0.323 0.765
0.021 0.021 0.936
```

As for the magnetic moment: 0.00 μB/f.u.

(Q)
The following is a DFT calculation (GGA-PBE) of KTc5 after structural relaxation.

```
KTc5
1.0
9.560 2.878 1.188
-9.978 -0.136 -1.228
-0.518 -0.018 4.207
Tc K
5 1
direct
0.316 0.684 0.000
0.770 0.230 0.500
0.153 0.847 0.500
0.386 0.614 0.500
0.694 0.306 0.000
0.013 0.987 0.000
```

As for the magnetic moment: 0.00 μB/f.u.

Q: Which of them is the least stable? A: (P).

(P)
The following is a DFT calculation (GGA-PBE) of K4Tc after structural relaxation.

```
K4Tc
1.0
-6.402 0.272 1.961
-1.283 -5.626 -3.408
1.508 -3.632 5.426
K Tc
4 1
direct
0.500 0.500 0.000
0.000 0.500 0.500
0.500 0.000 0.500
0.000 0.000 0.000
0.500 0.500 0.500
```

As for the magnetic moment: 3.25 μB/f.u.

(Q)
The following is a DFT calculation (GGA-PBE) of K4Tc after structural relaxation.

```
K4Tc
1.0
-4.123 4.123 4.123
4.123 -4.123 4.123
4.123 4.123 -4.123
Tc K
1 4
direct
0.000 0.000 0.000
0.500 0.000 0.000
0.500 0.500 0.500
0.000 0.500 0.000
0.000 0.000 0.500
```

As for the magnetic moment: 3.29 μB/f.u.

(R)
The following is a DFT calculation (GGA-PBE) of K4Tc after structural relaxation.

```
K4Tc
1.0
2.090 -7.368 3.108
-2.999 7.667 0.735
-6.930 -2.891 -3.454
K Tc
4 1
direct
0.569 0.752 0.320
0.248 0.569 0.817
0.752 0.431 0.183
0.431 0.248 0.680
0.000 0.000 0.000
```

As for the magnetic moment: 2.81 μB/f.u.

Q: Which of them is the least stable? A: (P).